VASP calculation (PBE-GGA) on an optimized crystal structure of TaZn2SbO6.

Cell and atoms, written as extended XYZ:
```
20
Lattice="5.487 0.000 0.000 0.000 8.001 0.000 -0.253 0.000 5.540" Properties=species:S:1:pos:R:3 pbc="T T T"
Ta 0.000 0.000 0.000
Ta 0.000 4.000 0.000
Zn -0.010 2.000 2.847
Zn 2.639 6.000 0.130
Zn 2.595 2.000 5.410
Zn 5.244 6.000 2.693
Sb 2.617 0.000 2.770
Sb 2.617 4.000 2.770
O 0.459 6.000 0.689
O 0.608 4.565 3.832
O 0.608 7.436 3.832
O 1.726 0.571 0.742
O 1.726 3.429 0.742
O 1.931 2.000 3.486
O 3.303 6.000 2.054
O 3.508 4.572 4.798
O 3.508 7.429 4.798
O 4.626 0.565 1.708
O 4.626 3.435 1.708
O 4.775 2.000 4.851
```

Results
E_form (uncorrected) in eV/atom: -1.720



VASP calculation (PBE-GGA) on an optimized crystal structure of BaSrHgF6.

Cell and atoms, written as extended XYZ:
```
18
Lattice="6.314 0.000 0.000 -3.157 5.468 0.000 0.000 0.000 10.816" Properties=species:S:1:pos:R:3 pbc="T T T"
Ba 0.000 0.000 0.000
Ba 0.000 0.000 5.408
Sr 0.000 3.646 2.704
Sr 3.157 1.823 8.112
Hg 0.000 3.646 8.112
Hg 3.157 1.823 2.704
F -1.046 1.916 6.897
F -2.020 3.605 9.327
F 1.046 1.916 9.327
F -0.975 5.416 6.897
F 2.183 0.053 1.489
F 1.137 1.864 3.919
F 2.020 3.605 6.897
F 0.975 5.416 9.327
F 4.132 0.053 3.919
F 2.112 3.552 1.489
F 5.178 1.864 1.489
F 4.203 3.552 3.919
```

Results
E_form (uncorrected) in eV/atom: -3.020



VASP calculation (PBE-GGA) on an optimized crystal structure of CrSbTe2Pd.

Cell and atoms, written as extended XYZ:
```
5
Lattice="5.152 0.000 0.000 0.000 5.152 0.000 0.000 0.000 4.994" Properties=species:S:1:pos:R:3 pbc="T T T"
Cr 0.000 0.000 0.000
Sb 0.000 0.000 2.497
Te 0.000 2.576 0.000
Te 2.576 0.000 0.000
Pd 2.576 2.576 2.497
```

Results
E_form (uncorrected) in eV/atom: 0.561
Relative energy among the computed polymorphs in eV/f.u.: 0.00



VASP calculation (PBE-GGA) on an optimized crystal structure of Na2Mg5In12.

Cell and atoms, written as extended XYZ:
```
19
Lattice="9.070 -3.080 0.000 9.070 3.080 0.000 -2.827 0.000 9.522" Properties=species:S:1:pos:R:3 pbc="T T T"
Na 9.070 1.537 0.000
Na 9.070 -1.537 0.000
Mg -1.413 0.000 4.761
Mg 3.630 0.000 5.720
Mg 6.208 0.000 1.279
Mg 9.105 0.000 8.242
Mg 11.683 0.000 3.802
In 2.903 1.576 8.358
In 5.291 1.553 3.661
In 1.128 0.000 2.937
In 10.022 1.553 5.861
In 12.410 1.576 1.164
In 6.850 0.000 6.267
In 8.463 0.000 3.255
In 2.903 -1.576 8.358
In 5.291 -1.553 3.661
In 14.185 0.000 6.584
In 10.022 -1.553 5.861
In 12.410 -1.576 1.164
```

Results
Energy relative to the elements in eV/f.u.: 0.63
Relative energy among the computed polymorphs in eV/f.u.: 1.18



VASP calculation (PBE-GGA) on an optimized crystal structure of AgHgH2.

Cell and atoms, written as extended XYZ:
```
8
Lattice="2.797 0.000 0.000 0.000 5.311 0.000 -0.020 0.000 8.324" Properties=species:S:1:pos:R:3 pbc="T T T"
Ag 0.688 1.328 1.253
Ag 2.089 3.983 7.071
Hg 0.664 1.328 4.904
Hg 2.113 3.983 3.420
H 0.692 2.806 7.023
H 0.692 5.159 7.023
H 2.085 0.151 1.301
H 2.085 2.504 1.301
```

Results
Relative energy among the computed polymorphs in eV/f.u.: 0.00



VASP calculation (PBE-GGA) on an optimized crystal structure of K2BeTe2H.

Cell and atoms, written as extended XYZ:
```
12
Lattice="-3.717 6.811 3.312 3.717 -6.811 3.312 3.717 6.811 -3.312" Properties=species:S:1:pos:R:3 pbc="T T T"
K 1.159 1.826 0.000
K 1.159 -1.826 3.312
K 2.557 8.638 0.000
K 2.557 4.985 3.312
Be 3.717 0.000 1.656
Be 0.000 6.811 1.656
Te 5.033 1.349 0.000
Te 1.316 5.463 0.000
Te 2.400 1.349 3.312
Te -1.316 5.463 3.312
H 0.000 0.000 1.656
H 0.000 0.000 4.968
```

Results
DFT total energy in eV/atom: -2.954



VASP calculation (PBE-GGA) on an optimized crystal structure of Ti3Ga6Co.

Cell and atoms, written as extended XYZ:
```
20
Lattice="4.365 2.520 4.859 -4.365 2.520 4.859 0.000 -5.041 4.859" Properties=species:S:1:pos:R:3 pbc="T T T"
Ti 0.000 -2.111 4.096
Ti -1.828 1.055 4.096
Ti -1.828 -1.055 10.482
Ti 1.828 1.055 4.096
Ti 1.828 -1.055 10.482
Ti 0.000 2.111 10.482
Ga -2.961 -1.709 7.938
Ga -1.664 -0.961 5.946
Ga 0.000 -3.419 6.640
Ga -2.961 1.709 6.640
Ga 0.000 -1.922 8.632
Ga -1.664 0.961 8.632
Ga 1.664 -0.961 5.946
Ga 0.000 1.922 5.946
Ga 2.961 -1.709 7.938
Ga 0.000 3.419 7.938
Ga 1.664 0.961 8.632
Ga 2.961 1.709 6.640
Co 0.000 0.000 0.000
Co 0.000 0.000 7.289
```

Results
Energy relative to the elements in eV/f.u.: -2.18



VASP calculation (PBE-GGA) on an optimized crystal structure of YGeP2Cl.

Cell and atoms, written as extended XYZ:
```
5
Lattice="5.331 0.000 0.000 0.000 5.331 0.000 0.000 0.000 5.079" Properties=species:S:1:pos:R:3 pbc="T T T"
Y 0.000 0.000 0.000
Ge 2.665 2.665 2.539
P 0.000 2.665 0.000
P 2.665 0.000 0.000
Cl 0.000 0.000 2.539
```

Results
E_form (uncorrected) in eV/atom: 0.147
Relative energy among the computed polymorphs in eV/f.u.: 1.68



VASP calculation (PBE-GGA) on an optimized crystal structure of DyY4Ni2.

Cell and atoms, written as extended XYZ:
```
14
Lattice="7.516 0.000 0.000 0.000 6.417 0.000 -3.051 0.000 7.377" Properties=species:S:1:pos:R:3 pbc="T T T"
Dy 1.036 1.604 0.213
Dy 3.429 4.813 7.164
Y -0.971 1.604 2.853
Y 0.824 4.813 2.540
Y 0.721 0.029 5.674
Y 0.721 3.179 5.674
Y 3.744 3.238 1.703
Y 3.744 6.388 1.703
Y 3.641 1.604 4.838
Y 5.437 4.813 4.524
Ni -1.135 4.813 7.325
Ni 1.626 1.604 3.025
Ni 2.839 4.813 4.352
Ni 5.600 1.604 0.052
```

Results
Energy relative to the elements in eV/f.u.: -0.94



VASP calculation (PBE-GGA) on an optimized crystal structure of CuOsSN2.

Cell and atoms, written as extended XYZ:
```
5
Lattice="3.728 0.000 0.000 0.000 3.728 0.000 0.000 0.000 5.293" Properties=species:S:1:pos:R:3 pbc="T T T"
Cu 0.000 0.000 0.000
Os 1.864 1.864 2.646
S 1.864 1.864 0.000
N 0.000 1.864 2.646
N 1.864 0.000 2.646
```

Results
E_form (uncorrected) in eV/atom: 0.704
Relative energy among the computed polymorphs in eV/f.u.: 0.00



VASP calculation (PBE-GGA) on an optimized crystal structure of La2MgIrN.

Cell and atoms, written as extended XYZ:
```
5
Lattice="5.370 0.000 0.000 0.000 5.370 0.000 0.000 0.000 3.889" Properties=species:S:1:pos:R:3 pbc="T T T"
La 0.000 2.685 0.000
La 2.685 0.000 0.000
Mg 0.000 0.000 1.945
Ir 2.685 2.685 1.945
N 2.685 2.685 0.000
```

Results
E_form (uncorrected) in eV/atom: -0.550
Relative energy among the computed polymorphs in eV/f.u.: 0.73



VASP calculation (PBE-GGA) on an optimized crystal structure of KNpMo2N6.

Cell and atoms, written as extended XYZ:
```
20
Lattice="5.474 -5.391 0.000 5.474 5.391 0.000 -2.093 0.000 6.088" Properties=species:S:1:pos:R:3 pbc="T T T"
K 3.904 4.384 4.566
K 4.951 -4.384 1.522
Np 4.951 2.272 1.522
Np 3.904 -2.272 4.566
Mo 1.498 0.831 5.157
Mo 2.545 -0.831 2.113
Mo 6.310 0.831 3.974
Mo 7.356 -0.831 0.931
N 3.396 3.899 1.657
N 2.668 2.197 5.551
N 6.505 3.899 1.387
N 3.390 0.507 0.970
N 5.140 2.197 3.581
N 2.344 -0.507 4.014
N 6.511 0.507 2.074
N 3.715 -2.197 2.507
N 5.464 -0.507 5.118
N 2.349 -3.899 4.701
N 6.186 -2.197 0.537
N 5.459 -3.899 4.431
```

Results
E_form (uncorrected) in eV/atom: -0.393